A plane-wave DFT calculation with PBE was carried out for CaTlCd3 after structural relaxation.

Cell lengths 6.425, 6.355, 6.075 Å; angles 121.55, 105.12, 60.07 degrees
Positions (direct):
Ca (0.500, 0.000, 0.000)
Tl (0.000, 0.000, 0.000)
Cd (0.000, 0.000, 0.500)
Cd (0.000, 0.500, 0.500)
Cd (0.000, 0.500, 0.000)

Output
The calculation puts the energy of formation at 0.131 eV/atom. As for the space group: C2/m. The crystal system is monoclinic.